The following is a DFT calculation (PBE-GGA) of a relaxed SbAu crystal.

Computed properties:
Uncorrected energy in eV/atom: -3.704
Formation energy (no corrections) in eV per atom: -0.005
Symmetry: Pmmm, No. 47
N(E_F) in states/eV/atom: 0.41

Lattice parameters (Å, degrees): 3.0411 3.9471 4.0755 90.00 90.00 90.00
Closest atoms and distances in Å follow each position.
Atoms (fractional coordinates):
Sb 0.0000 0.0000 0.5000  4 Au 2.84, 2 Sb 3.04
Au 0.0000 0.5000 0.0000  4 Sb 2.84, 2 Au 3.04